No. 1
A plane-wave DFT calculation with PBEsol was carried out for a geometry-optimized CrMoW2C structure.

Structure (CIF):
```
data_CrMoW2C
_cell_length_a 4.4236
_cell_length_b 4.4236
_cell_length_c 4.3377
_cell_angle_alpha 90.00
_cell_angle_beta 90.00
_cell_angle_gamma 90.00
_symmetry_space_group_name_H-M 'P 1'
_symmetry_Int_Tables_number 1
loop_
_symmetry_equiv_pos_as_xyz
'x,y,z'
loop_
_atom_site_label
_atom_site_type_symbol
_atom_site_fract_x
_atom_site_fract_y
_atom_site_fract_z
_atom_site_occupancy
Cr1 Cr 0.0000 0.0000 0.0000 1
Mo1 Mo 0.0000 0.0000 0.5000 1
W1 W 0.0000 0.5000 0.0000 1
W2 W 0.5000 0.0000 0.0000 1
C1 C 0.5000 0.5000 0.5000 1
```

Values from the calculation:
For the final energy, the calculation gives -45.61 eV/f.u.

***

No. 2
A plane-wave DFT calculation with PBEsol was carried out for a geometry-optimized Cr2CN structure.

Structure (CIF):
```
data_Cr2CN
_cell_length_a 4.3440
_cell_length_b 4.3440
_cell_length_c 8.6976
_cell_angle_alpha 90.00
_cell_angle_beta 90.00
_cell_angle_gamma 90.00
_symmetry_space_group_name_H-M 'P 1'
_symmetry_Int_Tables_number 1
loop_
_symmetry_equiv_pos_as_xyz
'x,y,z'
loop_
_atom_site_label
_atom_site_type_symbol
_atom_site_fract_x
_atom_site_fract_y
_atom_site_fract_z
_atom_site_occupancy
Cr1 Cr 0.2435 0.2500 0.1250 1
Cr2 Cr 0.2500 0.7435 0.3750 1
Cr3 Cr 0.2500 0.7565 0.8750 1
Cr4 Cr 0.2565 0.2500 0.6250 1
Cr5 Cr 0.7435 0.7500 0.6250 1
Cr6 Cr 0.7500 0.2435 0.8750 1
Cr7 Cr 0.7500 0.2565 0.3750 1
Cr8 Cr 0.7565 0.7500 0.1250 1
C1 C 0.0000 0.0000 0.5000 1
C2 C 0.0000 0.5000 0.7500 1
C3 C 0.5000 0.0000 0.2500 1
C4 C 0.5000 0.5000 0.0000 1
N1 N 0.0000 0.0000 0.0000 1
N2 N 0.0000 0.5000 0.2500 1
N3 N 0.5000 0.0000 0.7500 1
N4 N 0.5000 0.5000 0.5000 1
```

Values from the calculation:
The value obtained for the uncorrected formation energy is -11.0 kJ per mole of atoms.

***

Number 1: magnetization 0.000 μB/atom. Number 2: magnetization 0.747 μB/atom.